12
Lattice="3.9615 0.0000 0.0000 -1.9808 3.4308 0.0000 0.0000 0.0000 22.0670" Properties=species:S:1:pos:R:3 comment="Sm2PdS (PBE-GGA, relaxed)" polymorph_energy_mev_per_atom=184 e_form_raw_mev_per_atom=-1228.7 final_energy_ev_per_atom=-5.918 mass_density_g_cm3=7.30 space_group=R3m pbc="T T T"
Sm 0.0000 0.0000 0.0000
Sm 0.0000 0.0000 3.8204
Sm 0.0000 2.2872 14.7113
Sm 0.0000 2.2872 18.5317
Sm 1.9808 1.1436 7.3556
Sm 1.9808 1.1436 11.1761
Pd 0.0000 0.0000 12.9352
Pd 0.0000 2.2872 5.5796
Pd 1.9808 1.1436 20.2909
S 0.0000 0.0000 16.6439
S 0.0000 2.2872 9.2883
S 1.9808 1.1436 1.9326



5
Lattice="4.7419 0.0000 0.0000 0.0000 4.7419 0.0000 0.0000 0.0000 4.8773" Properties=species:S:1:pos:R:3 comment="TaCr2GePt (PBE-GGA, relaxed)" final_energy_ev_per_atom=-7.028 mass_density_g_cm3=8.37 delta_e_f_mev_per_atom=1324 space_group=P4/mmm pbc="T T T"
Ta 0.0000 0.0000 0.0000
Cr 0.0000 2.3709 0.0000
Cr 2.3709 0.0000 0.0000
Ge 2.3709 2.3709 2.4387
Pt 0.0000 0.0000 2.4387



12
Lattice="3.8934 0.0000 0.0000 -1.9467 3.3717 0.0000 0.0000 0.0000 28.8697" Properties=species:S:1:pos:R:3 comment="Th2CoBi (PBE-GGA, relaxed)" polymorph_energy_mev_per_atom=302 final_energy_ev_per_atom=-6.539 mass_density_g_cm3=9.62 delta_e_f_mev_per_atom=-83 space_group=R-3m pbc="T T T"
Th 0.0000 0.0000 3.2908
Th 0.0000 0.0000 25.5790
Th 0.0000 2.2478 15.9557
Th 0.0000 2.2478 22.5373
Th 1.9467 1.1239 6.3325
Th 1.9467 1.1239 12.9140
Co 0.0000 0.0000 14.4349
Co 0.0000 2.2478 4.8116
Co 1.9467 1.1239 24.0581
Bi 0.0000 0.0000 0.0000
Bi 0.0000 2.2478 19.2465
Bi 1.9467 1.1239 9.6232



16
Lattice="6.5450 0.0000 0.0000 0.0000 6.5450 0.0000 0.0000 0.0000 6.5450" Properties=species:S:1:pos:R:3 comment="Ti2InF (PBE-GGA, relaxed)" polymorph_energy_mev_per_atom=189 e_form_raw_mev_per_atom=-320.1 final_energy_ev_per_atom=-5.420 mass_density_g_cm3=5.44 space_group=Fm-3m pbc="T T T"
Ti 1.6363 1.6363 1.6363
Ti 1.6363 1.6363 4.9088
Ti 1.6363 4.9088 1.6363
Ti 1.6363 4.9088 4.9088
Ti 4.9088 1.6363 1.6363
Ti 4.9088 1.6363 4.9088
Ti 4.9088 4.9088 1.6363
Ti 4.9088 4.9088 4.9088
In 0.0000 0.0000 0.0000
In 0.0000 3.2725 3.2725
In 3.2725 0.0000 3.2725
In 3.2725 3.2725 0.0000
F 0.0000 0.0000 3.2725
F 0.0000 3.2725 0.0000
F 3.2725 0.0000 0.0000
F 3.2725 3.2725 3.2725



5
Lattice="4.2183 0.0000 0.0000 0.0000 4.2183 0.0000 0.0000 0.0000 4.5672" Properties=species:S:1:pos:R:3 comment="VBSCl2 (PBE-GGA, relaxed)" polymorph_energy_mev_per_atom=104 e_form_raw_mev_per_atom=486.7 final_energy_ev_per_atom=-4.237 mass_density_g_cm3=3.37 space_group=P4/mmm pbc="T T T"
V 0.0000 0.0000 0.0000
B 2.1091 2.1091 2.2836
S 2.1091 2.1091 0.0000
Cl 0.0000 2.1091 2.2836
Cl 2.1091 0.0000 2.2836



5
Lattice="5.1013 0.0000 0.0000 0.0000 5.1013 0.0000 0.0000 0.0000 4.8860" Properties=species:S:1:pos:R:3 comment="ZrP2AuCl (PBE-GGA, relaxed)" polymorph_energy_mev_per_atom=0 e_form_raw_mev_per_atom=195.1 final_energy_ev_per_atom=-4.703 mass_density_g_cm3=5.04 space_group=P4/mmm pbc="T T T"
Zr 0.0000 0.0000 0.0000
P 0.0000 2.5507 0.0000
P 2.5507 0.0000 0.0000
Au 2.5507 2.5507 2.4430
Cl 0.0000 0.0000 2.4430



20
Lattice="5.8884 0.0000 0.0000 0.0000 8.7015 0.0000 0.0000 0.0000 6.7640" Properties=species:S:1:pos:R:3 comment="K2CeMgF6 (PBE-GGA, relaxed)" e_form_raw_mev_per_atom=-3136.4 final_energy_ev_per_atom=-5.231 mass_density_g_cm3=3.42 space_group=Pmmn pbc="T T T"
K 1.4721 0.2407 1.2527
K 1.4721 4.1101 1.2527
K 4.4163 4.5914 5.5113
K 4.4163 8.4608 5.5113
Ce 1.4721 2.1754 4.6966
Ce 4.4163 6.5261 2.0675
Mg 1.4721 6.5261 5.3018
Mg 4.4163 2.1754 1.4622
F 0.0471 6.5261 0.0488
F 0.0584 2.1754 2.7765
F 1.4721 4.4780 5.3229
F 1.4721 8.5742 5.3229
F 2.8858 2.1754 2.7765
F 2.8971 6.5261 0.0488
F 2.9913 2.1754 6.7152
F 3.0025 6.5261 3.9875
F 4.4163 0.1273 1.4411
F 4.4163 4.2235 1.4411
F 5.8300 6.5261 3.9875
F 5.8413 2.1754 6.7152



16
Lattice="6.6838 0.0000 0.0000 0.0000 6.6838 0.0000 0.0000 0.0000 6.6838" Properties=species:S:1:pos:R:3 comment="LiPaGaCu (PBE-GGA, relaxed)" final_energy_ev_per_atom=-4.663 mass_density_g_cm3=8.26 delta_e_f_mev_per_atom=-30 space_group=F-43m pbc="T T T"
Li 0.0000 0.0000 0.0000
Li 0.0000 3.3419 3.3419
Li 3.3419 0.0000 3.3419
Li 3.3419 3.3419 0.0000
Pa 0.0000 0.0000 3.3419
Pa 0.0000 3.3419 0.0000
Pa 3.3419 0.0000 0.0000
Pa 3.3419 3.3419 3.3419
Ga 1.6710 1.6710 5.0129
Ga 1.6710 5.0129 1.6710
Ga 5.0129 1.6710 1.6710
Ga 5.0129 5.0129 5.0129
Cu 1.6710 1.6710 1.6710
Cu 1.6710 5.0129 5.0129
Cu 5.0129 1.6710 5.0129
Cu 5.0129 5.0129 1.6710



5
Lattice="5.0579 0.0000 0.0000 0.0000 5.0579 0.0000 0.0000 0.0000 4.3825" Properties=species:S:1:pos:R:3 comment="LiPPtS2 (PBE-GGA, relaxed)" polymorph_energy_mev_per_atom=0 e_form_raw_mev_per_atom=242.6 final_energy_ev_per_atom=-4.081 mass_density_g_cm3=4.40 space_group=P4/mmm pbc="T T T"
Li 0.0000 0.0000 0.0000
P 2.5290 2.5290 0.0000
Pt 2.5290 2.5290 2.1913
S 0.0000 2.5290 2.1913
S 2.5290 0.0000 2.1913



16
Lattice="7.1434 0.0000 0.0000 0.0000 7.1434 0.0000 0.0000 0.0000 7.1434" Properties=species:S:1:pos:R:3 comment="TmTlZnHg (PBE-GGA, relaxed)" final_energy_ev_per_atom=-2.272 mass_density_g_cm3=11.65 delta_e_f_mev_per_atom=-169 space_group=F-43m pbc="T T T"
Tm 0.0000 0.0000 0.0000
Tm 0.0000 3.5717 3.5717
Tm 3.5717 0.0000 3.5717
Tm 3.5717 3.5717 0.0000
Tl 1.7859 1.7859 1.7859
Tl 1.7859 5.3576 5.3576
Tl 5.3576 1.7859 5.3576
Tl 5.3576 5.3576 1.7859
Zn 0.0000 0.0000 3.5717
Zn 0.0000 3.5717 0.0000
Zn 3.5717 0.0000 0.0000
Zn 3.5717 3.5717 3.5717
Hg 1.7859 1.7859 5.3576
Hg 1.7859 5.3576 1.7859
Hg 5.3576 1.7859 1.7859
Hg 5.3576 5.3576 5.3576



3
Lattice="4.5533 0.0000 0.0000 -2.2767 3.9433 0.0000 0.0000 0.0000 4.9015" Properties=species:S:1:pos:R:3 comment="BaTeRh (PBE-GGA, relaxed)" e_form_raw_mev_per_atom=-900.5 final_energy_ev_per_atom=-5.039 mass_density_g_cm3=6.94 space_group=P-6m2 pbc="T T T"
Ba 0.0000 0.0000 0.0000
Te 0.0000 2.6289 2.4507
Rh 2.2767 1.3144 2.4507



16
Lattice="7.3657 0.0000 0.0000 0.0000 7.3657 0.0000 0.0000 0.0000 5.3163" Properties=species:S:1:pos:R:3 comment="TaAl2As (PBE-GGA, relaxed)" final_energy_ev_per_atom=-5.730 mass_density_g_cm3=7.14 delta_e_f_mev_per_atom=267 space_group=I-42d pbc="T T T"
Ta 0.0000 0.0000 0.0000
Ta 0.0000 3.6828 1.3291
Ta 3.6828 0.0000 3.9872
Ta 3.6828 3.6828 2.6581
Al 1.6591 1.8414 3.3227
Al 1.8414 5.3419 4.6517
Al 1.8414 5.7066 1.9936
Al 2.0238 1.8414 0.6645
Al 5.3419 5.5243 0.6645
Al 5.5243 1.6591 1.9936
Al 5.5243 2.0238 4.6517
Al 5.7066 5.5243 3.3227
As 0.0000 0.0000 2.6581
As 0.0000 3.6828 3.9872
As 3.6828 0.0000 1.3291
As 3.6828 3.6828 0.0000



15
Lattice="4.2170 0.0000 0.0000 -2.1085 3.6520 0.0000 0.0000 0.0000 17.7745" Properties=species:S:1:pos:R:3 comment="TmGe2Pt2 (PBE-GGA, relaxed)" final_energy_ev_per_atom=-5.941 mass_density_g_cm3=12.82 delta_e_f_mev_per_atom=-783 space_group=R-3m pbc="T T T"
Tm 0.0000 0.0000 0.0000
Tm 0.0000 2.4347 11.8497
Tm 2.1085 1.2173 5.9248
Ge 0.0000 0.0000 7.5431
Ge 0.0000 0.0000 10.2314
Ge 0.0000 2.4347 1.6183
Ge 0.0000 2.4347 4.3066
Ge 2.1085 1.2173 13.4679
Ge 2.1085 1.2173 16.1562
Pt 0.0000 0.0000 3.7708
Pt 0.0000 0.0000 14.0037
Pt 0.0000 2.4347 8.0788
Pt 0.0000 2.4347 15.6205
Pt 2.1085 1.2173 2.1540
Pt 2.1085 1.2173 9.6956



6
Lattice="0.0000 4.2651 4.2651 4.2651 0.0000 4.2651 4.2651 4.2651 0.0000" Properties=species:S:1:pos:R:3 comment="EuMg4Ga (PBE-GGA, relaxed)" final_energy_ev_per_atom=-3.265 mass_density_g_cm3=3.41 delta_e_f_mev_per_atom=15 space_group=F-43m pbc="T T T"
Eu 0.0000 0.0000 0.0000
Mg 3.2037 3.2037 3.2037
Mg 5.3264 5.3264 3.2037
Mg 5.3264 3.2037 5.3264
Mg 3.2037 5.3264 5.3264
Ga 6.3976 6.3976 6.3976



12
Lattice="5.9960 0.0000 0.0000 0.0000 5.9960 0.0000 0.0000 0.0000 5.9960" Properties=species:S:1:pos:R:3 comment="ZrCoW (PBE-GGA, relaxed)" polymorph_energy_mev_per_atom=504 final_energy_ev_per_atom=-9.132 mass_density_g_cm3=10.29 delta_e_f_mev_per_atom=404 space_group=F-43m pbc="T T T"
Zr 0.0000 0.0000 0.0000
Zr 0.0000 2.9980 2.9980
Zr 2.9980 0.0000 2.9980
Zr 2.9980 2.9980 0.0000
Co 1.4990 1.4990 1.4990
Co 1.4990 4.4970 4.4970
Co 4.4970 1.4990 4.4970
Co 4.4970 4.4970 1.4990
W 0.0000 0.0000 2.9980
W 0.0000 2.9980 0.0000
W 2.9980 0.0000 0.0000
W 2.9980 2.9980 2.9980



4
Lattice="4.1669 0.0000 0.0000 0.0000 7.3171 0.0000 -0.6961 0.0000 7.4992" Properties=species:S:1:pos:R:3 comment="K2SrCa (PBE-GGA, relaxed)" final_energy_ev_per_atom=-1.334 mass_density_g_cm3=1.50 delta_e_f_mev_per_atom=136 space_group=P2/m pbc="T T T"
K 0.8219 0.0000 1.9126
K 2.6488 0.0000 5.5866
Sr 2.0835 3.6585 0.0000
Ca -0.3481 3.6585 3.7496



16
Lattice="6.3204 0.0000 0.0000 0.0000 6.3204 0.0000 0.0000 0.0000 6.3204" Properties=species:S:1:pos:R:3 comment="YNi2Pd (PBE-GGA, relaxed)" final_energy_ev_per_atom=-6.104 mass_density_g_cm3=8.23 delta_e_f_mev_per_atom=-299 space_group=Fm-3m pbc="T T T"
Y 0.0000 0.0000 0.0000
Y 0.0000 3.1602 3.1602
Y 3.1602 0.0000 3.1602
Y 3.1602 3.1602 0.0000
Ni 1.5801 1.5801 1.5801
Ni 1.5801 1.5801 4.7403
Ni 1.5801 4.7403 1.5801
Ni 1.5801 4.7403 4.7403
Ni 4.7403 1.5801 1.5801
Ni 4.7403 1.5801 4.7403
Ni 4.7403 4.7403 1.5801
Ni 4.7403 4.7403 4.7403
Pd 0.0000 0.0000 3.1602
Pd 0.0000 3.1602 0.0000
Pd 3.1602 0.0000 0.0000
Pd 3.1602 3.1602 3.1602



14
Lattice="10.1482 -1.8629 0.0000 10.1482 1.8629 0.0000 -2.5902 0.0000 9.7606" Properties=species:S:1:pos:R:3 comment="RbNb5Te8 (PBE-GGA, relaxed)" e_form_raw_mev_per_atom=-495.2 final_energy_ev_per_atom=-5.956 mass_density_g_cm3=7.07 space_group=C2/m pbc="T T T"
Rb 0.0000 0.0000 0.0000
Nb 1.4996 0.0000 4.9695
Nb 2.0714 0.0000 8.4743
Nb 8.8531 0.0000 4.8803
Nb 15.6348 0.0000 1.2863
Nb 16.2065 0.0000 4.7910
Te -0.4173 0.0000 6.8569
Te 4.3455 0.0000 3.3145
Te 4.4878 0.0000 9.7118
Te 6.6540 0.0000 6.7156
Te 11.0522 0.0000 3.0450
Te 13.2183 0.0000 0.0488
Te 13.3607 0.0000 6.4460
Te 18.1234 0.0000 2.9037



6
Lattice="4.6844 0.0000 0.0000 0.0000 4.6844 0.0000 0.0000 0.0000 5.3093" Properties=species:S:1:pos:R:3 comment="HoGa2Ni2Pt (PBE-GGA, relaxed)" final_energy_ev_per_atom=-4.832 mass_density_g_cm3=8.79 delta_e_f_mev_per_atom=-126 space_group=P4/mmm pbc="T T T"
Ho 0.0000 0.0000 0.0000
Ga 0.0000 2.3422 2.6547
Ga 2.3422 0.0000 2.6547
Ni 2.3422 2.3422 1.2760
Ni 2.3422 2.3422 4.0333
Pt 0.0000 0.0000 2.6547



5
Lattice="4.0995 0.0000 0.0000 0.0000 4.0995 0.0000 0.0000 0.0000 4.2574" Properties=species:S:1:pos:R:3 comment="InAgHPt2 (PBE-GGA, relaxed)" final_energy_ev_per_atom=-4.354 mass_density_g_cm3=14.25 space_group=P4/mmm pbc="T T T"
In 0.0000 0.0000 0.0000
Ag 2.0497 2.0497 0.0000
H 2.0497 2.0497 2.1287
Pt 0.0000 2.0497 2.1287
Pt 2.0497 0.0000 2.1287



16
Lattice="5.1833 0.0000 0.0000 0.0000 5.1833 0.0000 0.0000 0.0000 5.1833" Properties=species:S:1:pos:R:3 comment="IrN2F (PBE-GGA, relaxed)" polymorph_energy_mev_per_atom=857 e_form_raw_mev_per_atom=1519.2 final_energy_ev_per_atom=-5.327 mass_density_g_cm3=11.41 space_group=Fm-3m pbc="T T T"
Ir 0.0000 0.0000 0.0000
Ir 0.0000 2.5917 2.5917
Ir 2.5917 0.0000 2.5917
Ir 2.5917 2.5917 0.0000
N 1.2958 1.2958 1.2958
N 1.2958 1.2958 3.8875
N 1.2958 3.8875 1.2958
N 1.2958 3.8875 3.8875
N 3.8875 1.2958 1.2958
N 3.8875 1.2958 3.8875
N 3.8875 3.8875 1.2958
N 3.8875 3.8875 3.8875
F 0.0000 0.0000 2.5917
F 0.0000 2.5917 0.0000
F 2.5917 0.0000 0.0000
F 2.5917 2.5917 2.5917



4
Lattice="4.1734 0.0000 0.0000 0.0000 4.1734 0.0000 0.0000 0.0000 5.0664" Properties=species:S:1:pos:R:3 comment="PuAg2Au (PBE-GGA, relaxed)" polymorph_energy_mev_per_atom=105 final_energy_ev_per_atom=-5.817 mass_density_g_cm3=12.36 delta_e_f_mev_per_atom=11 space_group=P4/mmm pbc="T T T"
Pu 0.0000 0.0000 0.0000
Ag 0.0000 2.0867 2.5332
Ag 2.0867 0.0000 2.5332
Au 2.0867 2.0867 0.0000



5
Lattice="4.7700 0.0000 0.0000 0.0000 4.7700 0.0000 0.0000 0.0000 5.0467" Properties=species:S:1:pos:R:3 comment="SrLaMgN2 (PBE-GGA, relaxed)" e_form_raw_mev_per_atom=1058.2 final_energy_ev_per_atom=-3.913 mass_density_g_cm3=4.03 space_group=P4/mmm pbc="T T T"
Sr 0.0000 0.0000 0.0000
La 2.3850 2.3850 2.5233
Mg 0.0000 0.0000 2.5233
N 0.0000 2.3850 0.0000
N 2.3850 0.0000 0.0000



15
Lattice="7.0806 0.0000 0.0000 -3.5403 6.1319 0.0000 0.0000 0.0000 8.6616" Properties=species:S:1:pos:R:3 comment="Rb3Mg2NiCl9 (PBE-GGA, relaxed)" e_form_raw_mev_per_atom=-1621.2 final_energy_ev_per_atom=-3.521 mass_density_g_cm3=3.01 space_group=P-3m1 pbc="T T T"
Rb 0.0000 0.0000 0.0000
Rb 0.0000 4.0880 5.7468
Rb 3.5403 2.0440 2.9148
Mg 0.0000 4.0880 1.4649
Mg 3.5403 2.0440 7.1967
Ni 0.0000 0.0000 4.3308
Cl -1.7701 3.0660 0.0000
Cl 0.0000 1.9998 2.9238
Cl -1.8084 5.1320 2.9238
Cl 1.7319 0.9999 5.7378
Cl 3.5403 0.0000 0.0000
Cl 1.7701 3.0660 0.0000
Cl 1.8084 5.1320 2.9238
Cl 5.3487 0.9999 5.7378
Cl 3.5403 4.1321 5.7378



16
Lattice="5.7932 0.0000 0.0000 0.0000 5.7932 0.0000 0.0000 0.0000 6.6349" Properties=species:S:1:pos:R:3 comment="Na2IrPtO4 (PBE-GGA, relaxed)" e_form_raw_mev_per_atom=-722.5 final_energy_ev_per_atom=-5.394 mass_density_g_cm3=7.42 space_group=I-4 pbc="T T T"
Na 0.0000 0.0000 0.0000
Na 0.0000 2.8966 1.6587
Na 2.8966 0.0000 4.9761
Na 2.8966 2.8966 3.3174
Ir 0.0000 0.0000 3.3174
Ir 2.8966 2.8966 0.0000
Pt 0.0000 2.8966 4.9761
Pt 2.8966 0.0000 1.6587
O 0.8061 4.7475 4.7945
O 1.0457 0.8061 1.8404
O 1.8509 2.0905 5.1578
O 2.0905 3.9423 1.4770
O 3.7027 1.8509 1.4770
O 3.9423 3.7027 5.1578
O 4.7475 4.9871 1.8404
O 4.9871 1.0457 4.7945



14
Lattice="9.7144 0.0000 0.0000 0.0000 4.3853 0.0000 -0.6757 0.0000 6.5704" Properties=species:S:1:pos:R:3 comment="Mg2Cd3Ag2 (PBE-GGA, relaxed)" polymorph_energy_mev_per_atom=0 final_energy_ev_per_atom=-1.775 mass_density_g_cm3=7.14 delta_e_f_mev_per_atom=-113 space_group=C2/m pbc="T T T"
Mg 0.6511 0.0000 1.3440
Mg 3.5304 2.1926 5.2264
Mg 5.5083 2.1926 1.3440
Mg 8.3876 0.0000 5.2264
Cd -0.3379 2.1926 3.2852
Cd 1.5842 0.0000 4.2975
Cd 2.5973 2.1926 2.2729
Cd 4.5193 0.0000 3.2852
Cd 6.4414 2.1926 4.2975
Cd 7.4545 0.0000 2.2729
Ag 0.7089 2.1926 6.1368
Ag 3.4726 0.0000 0.4336
Ag 5.5661 0.0000 6.1368
Ag 8.3298 2.1926 0.4336